# GGA-PBE GaNi2Sn2, relaxed
# Calculated volume, A^3/atom: 17.20
# DFT total energy, eV/atom: -4.574
data_GaNi2Sn2
_cell_length_a 6.593
_cell_length_b 6.593
_cell_length_c 3.955
_cell_angle_alpha 90.00
_cell_angle_beta 90.00
_cell_angle_gamma 90.00
_symmetry_space_group_name_H-M 'P 4/m b m'
_symmetry_Int_Tables_number 127
_symmetry_space_group_name_Hall '-P 4 2ab'
loop_
_atom_site_label
_atom_site_type_symbol
_atom_site_fract_x
_atom_site_fract_y
_atom_site_fract_z
_atom_site_occupancy
Ga1 Ga 0.000 0.000 0.000 1
Ni1 Ni 0.141 0.359 0.000 1
Sn1 Sn 0.164 0.664 0.500 1


# GGA-PBE Ga3NiSn, relaxed
# Calculated volume, A^3/atom: 20.15
# DFT total energy, eV/atom: -3.782
data_Ga3NiSn
_cell_length_a 4.653
_cell_length_b 4.653
_cell_length_c 4.653
_cell_angle_alpha 90.00
_cell_angle_beta 90.00
_cell_angle_gamma 90.00
_symmetry_space_group_name_H-M 'P m -3 m'
_symmetry_Int_Tables_number 221
_symmetry_space_group_name_Hall '-P 4 2 3'
loop_
_atom_site_label
_atom_site_type_symbol
_atom_site_fract_x
_atom_site_fract_y
_atom_site_fract_z
_atom_site_occupancy
Ga1 Ga 0.000 0.000 0.500 1
Ni1 Ni 0.000 0.000 0.000 1
Sn1 Sn 0.500 0.500 0.500 1


# GGA-PBE GaNi4Sn3, relaxed
# Calculated volume, A^3/atom: 17.57
# DFT total energy, eV/atom: -4.789
data_GaNi4Sn3
_cell_length_a 5.016
_cell_length_b 8.567
_cell_length_c 6.544
_cell_angle_alpha 90.00
_cell_angle_beta 90.00
_cell_angle_gamma 90.00
_symmetry_space_group_name_H-M 'I m m 2'
_symmetry_Int_Tables_number 44
_symmetry_space_group_name_Hall 'I 2 -2'
loop_
_atom_site_label
_atom_site_type_symbol
_atom_site_fract_x
_atom_site_fract_y
_atom_site_fract_z
_atom_site_occupancy
Ga1 Ga 0.000 0.000 0.000 1
Ni1 Ni 0.000 0.263 0.086 1
Ni2 Ni 0.248 0.000 0.676 1
Sn1 Sn 0.000 0.243 0.476 1
Sn2 Sn 0.000 0.500 0.816 1


# GGA-PBE GaNi12Sn3, relaxed
# Calculated volume, A^3/atom: 12.63
# DFT total energy, eV/atom: -5.481
data_GaNi12Sn3
_cell_length_a 3.711
_cell_length_b 3.711
_cell_length_c 14.678
_cell_angle_alpha 90.00
_cell_angle_beta 90.00
_cell_angle_gamma 90.00
_symmetry_space_group_name_H-M 'P 4/m m m'
_symmetry_Int_Tables_number 123
_symmetry_space_group_name_Hall '-P 4 2'
loop_
_atom_site_label
_atom_site_type_symbol
_atom_site_fract_x
_atom_site_fract_y
_atom_site_fract_z
_atom_site_occupancy
Ga1 Ga 0.000 0.000 0.000 1
Ni1 Ni 0.000 0.500 0.116 1
Ni2 Ni 0.000 0.500 0.372 1
Ni3 Ni 0.500 0.500 0.000 1
Ni4 Ni 0.500 0.500 0.245 1
Ni5 Ni 0.500 0.500 0.500 1
Sn1 Sn 0.000 0.000 0.244 1
Sn2 Sn 0.000 0.000 0.500 1


# GGA-PBE GaNi2Sn2, relaxed
# Calculated volume, A^3/atom: 19.28
# DFT total energy, eV/atom: -4.472
data_GaNi2Sn2
_cell_length_a 3.489
_cell_length_b 3.489
_cell_length_c 15.835
_cell_angle_alpha 90.00
_cell_angle_beta 90.00
_cell_angle_gamma 90.00
_symmetry_space_group_name_H-M 'I 4/m m m'
_symmetry_Int_Tables_number 139
_symmetry_space_group_name_Hall '-I 4 2'
loop_
_atom_site_label
_atom_site_type_symbol
_atom_site_fract_x
_atom_site_fract_y
_atom_site_fract_z
_atom_site_occupancy
Ga1 Ga 0.000 0.000 0.000 1
Ni1 Ni 0.000 0.500 0.250 1
Sn1 Sn 0.000 0.000 0.373 1


# GGA-PBE Ga2NiSn2, relaxed
# Calculated volume, A^3/atom: 23.40
# DFT total energy, eV/atom: -3.402
data_Ga2NiSn2
_cell_length_a 4.068
_cell_length_b 4.068
_cell_length_c 14.144
_cell_angle_alpha 90.00
_cell_angle_beta 90.00
_cell_angle_gamma 90.00
_symmetry_space_group_name_H-M 'I 4/m m m'
_symmetry_Int_Tables_number 139
_symmetry_space_group_name_Hall '-I 4 2'
loop_
_atom_site_label
_atom_site_type_symbol
_atom_site_fract_x
_atom_site_fract_y
_atom_site_fract_z
_atom_site_occupancy
Ga1 Ga 0.000 0.000 0.087 1
Ni1 Ni 0.000 0.000 0.500 1
Sn1 Sn 0.000 0.500 0.250 1


# GGA-PBE Ga2NiSn2, relaxed
# Calculated volume, A^3/atom: 22.14
# DFT total energy, eV/atom: -3.847
data_Ga2NiSn2
_cell_length_a 6.744
_cell_length_b 6.744
_cell_length_c 4.868
_cell_angle_alpha 90.00
_cell_angle_beta 90.00
_cell_angle_gamma 90.00
_symmetry_space_group_name_H-M 'P 4/m b m'
_symmetry_Int_Tables_number 127
_symmetry_space_group_name_Hall '-P 4 2ab'
loop_
_atom_site_label
_atom_site_type_symbol
_atom_site_fract_x
_atom_site_fract_y
_atom_site_fract_z
_atom_site_occupancy
Ga1 Ga 0.156 0.344 0.000 1
Ni1 Ni 0.000 0.000 0.500 1
Sn1 Sn 0.161 0.661 0.500 1


# GGA-PBE Ga2Ni7Sn2, relaxed
# Calculated volume, A^3/atom: 14.09
# DFT total energy, eV/atom: -5.032
data_Ga2Ni7Sn2
_cell_length_a 9.558
_cell_length_b 7.875
_cell_length_c 4.183
_cell_angle_alpha 90.00
_cell_angle_beta 100.02
_cell_angle_gamma 90.00
_symmetry_space_group_name_H-M 'C 1 2/m 1'
_symmetry_Int_Tables_number 12
_symmetry_space_group_name_Hall '-C 2y'
loop_
_atom_site_label
_atom_site_type_symbol
_atom_site_fract_x
_atom_site_fract_y
_atom_site_fract_z
_atom_site_occupancy
Ga1 Ga 0.218 0.000 0.277 1
Ni1 Ni 0.000 0.500 0.000 1
Ni2 Ni 0.063 0.000 0.774 1
Ni3 Ni 0.217 0.332 0.220 1
Sn1 Sn 0.000 0.290 0.500 1


# GGA-PBE GaNi2Sn2, relaxed
# Calculated volume, A^3/atom: 17.90
# DFT total energy, eV/atom: -4.448
data_GaNi2Sn2
_cell_length_a 7.800
_cell_length_b 7.800
_cell_length_c 2.941
_cell_angle_alpha 90.00
_cell_angle_beta 90.00
_cell_angle_gamma 90.00
_symmetry_space_group_name_H-M 'P 4/m b m'
_symmetry_Int_Tables_number 127
_symmetry_space_group_name_Hall '-P 4 2ab'
loop_
_atom_site_label
_atom_site_type_symbol
_atom_site_fract_x
_atom_site_fract_y
_atom_site_fract_z
_atom_site_occupancy
Ga1 Ga 0.000 0.000 0.000 1
Ni1 Ni 0.127 0.373 0.500 1
Sn1 Sn 0.163 0.663 0.000 1


# GGA-PBE GaNi14Sn, relaxed
# Calculated volume, A^3/atom: 11.57
# DFT total energy, eV/atom: -5.580
data_GaNi14Sn
_cell_length_a 5.107
_cell_length_b 5.107
_cell_length_c 7.094
_cell_angle_alpha 90.00
_cell_angle_beta 90.00
_cell_angle_gamma 90.00
_symmetry_space_group_name_H-M 'P 4/m m m'
_symmetry_Int_Tables_number 123
_symmetry_space_group_name_Hall '-P 4 2'
loop_
_atom_site_label
_atom_site_type_symbol
_atom_site_fract_x
_atom_site_fract_y
_atom_site_fract_z
_atom_site_occupancy
Ga1 Ga 0.000 0.000 0.000 1
Ni1 Ni 0.000 0.000 0.500 1
Ni2 Ni 0.000 0.500 0.000 1
Ni3 Ni 0.000 0.500 0.500 1
Ni4 Ni 0.246 0.246 0.261 1
Ni5 Ni 0.500 0.500 0.500 1
Sn1 Sn 0.500 0.500 0.000 1


# GGA-PBE Ga2NiSn, relaxed
# Calculated volume, A^3/atom: 19.10
# DFT total energy, eV/atom: -3.952
data_Ga2NiSn
_cell_length_a 4.272
_cell_length_b 4.272
_cell_length_c 16.745
_cell_angle_alpha 90.00
_cell_angle_beta 90.00
_cell_angle_gamma 90.00
_symmetry_space_group_name_H-M 'I -4 2 d'
_symmetry_Int_Tables_number 122
_symmetry_space_group_name_Hall 'I -4 2bw'
loop_
_atom_site_label
_atom_site_type_symbol
_atom_site_fract_x
_atom_site_fract_y
_atom_site_fract_z
_atom_site_occupancy
Ga1 Ga 0.170 0.250 0.125 1
Ni1 Ni 0.000 0.000 0.000 1
Sn1 Sn 0.000 0.000 0.500 1


# GGA-PBE Ga2Ni2Sn, relaxed
# Calculated volume, A^3/atom: 15.28
# DFT total energy, eV/atom: -4.463
data_Ga2Ni2Sn
_cell_length_a 7.264
_cell_length_b 7.264
_cell_length_c 2.897
_cell_angle_alpha 90.00
_cell_angle_beta 90.00
_cell_angle_gamma 90.00
_symmetry_space_group_name_H-M 'P 4/m b m'
_symmetry_Int_Tables_number 127
_symmetry_space_group_name_Hall '-P 4 2ab'
loop_
_atom_site_label
_atom_site_type_symbol
_atom_site_fract_x
_atom_site_fract_y
_atom_site_fract_z
_atom_site_occupancy
Ga1 Ga 0.153 0.347 0.000 1
Ni1 Ni 0.138 0.638 0.500 1
Sn1 Sn 0.000 0.000 0.500 1


# GGA-PBE GaNi2Sn2, relaxed
# Calculated volume, A^3/atom: 19.93
# DFT total energy, eV/atom: -4.326
data_GaNi2Sn2
_cell_length_a 4.386
_cell_length_b 4.386
_cell_length_c 10.359
_cell_angle_alpha 90.00
_cell_angle_beta 90.00
_cell_angle_gamma 90.00
_symmetry_space_group_name_H-M 'I 4/m m m'
_symmetry_Int_Tables_number 139
_symmetry_space_group_name_Hall '-I 4 2'
loop_
_atom_site_label
_atom_site_type_symbol
_atom_site_fract_x
_atom_site_fract_y
_atom_site_fract_z
_atom_site_occupancy
Ga1 Ga 0.000 0.000 0.000 1
Ni1 Ni 0.000 0.000 0.386 1
Sn1 Sn 0.000 0.500 0.250 1


# GGA-PBE GaNi8Sn2, relaxed
# Calculated volume, A^3/atom: 12.87
# DFT total energy, eV/atom: -5.352
data_GaNi8Sn2
_cell_length_a 13.231
_cell_length_b 3.836
_cell_length_c 5.902
_cell_angle_alpha 90.00
_cell_angle_beta 109.08
_cell_angle_gamma 90.00
_symmetry_space_group_name_H-M 'C 1 2/m 1'
_symmetry_Int_Tables_number 12
_symmetry_space_group_name_Hall '-C 2y'
loop_
_atom_site_label
_atom_site_type_symbol
_atom_site_fract_x
_atom_site_fract_y
_atom_site_fract_z
_atom_site_occupancy
Ga1 Ga 0.000 0.000 0.000 1
Ni1 Ni 0.032 0.500 0.726 1
Ni2 Ni 0.084 0.000 0.445 1
Ni3 Ni 0.139 0.500 0.182 1
Ni4 Ni 0.166 0.000 0.906 1
Sn1 Sn 0.214 0.500 0.663 1


# GGA-PBE GaNiSn, relaxed
# Calculated volume, A^3/atom: 17.94
# DFT total energy, eV/atom: -4.520
data_GaNiSn
_cell_length_a 5.993
_cell_length_b 5.993
_cell_length_c 5.993
_cell_angle_alpha 90.00
_cell_angle_beta 90.00
_cell_angle_gamma 90.00
_symmetry_space_group_name_H-M 'F -4 3 m'
_symmetry_Int_Tables_number 216
_symmetry_space_group_name_Hall 'F -4 2 3'
loop_
_atom_site_label
_atom_site_type_symbol
_atom_site_fract_x
_atom_site_fract_y
_atom_site_fract_z
_atom_site_occupancy
Ga1 Ga 0.000 0.000 0.000 1
Ni1 Ni 0.250 0.250 0.750 1
Sn1 Sn 0.000 0.000 0.500 1


# GGA-PBE GaNi2Sn, relaxed
# Calculated volume, A^3/atom: 14.88
# DFT total energy, eV/atom: -4.823
data_GaNi2Sn
_cell_length_a 4.1294
_cell_length_b 4.1294
_cell_length_c 12.0888
_cell_angle_alpha 90.00
_cell_angle_beta 90.00
_cell_angle_gamma 120.00
_symmetry_space_group_name_H-M 'R -3 m'
_symmetry_Int_Tables_number 166
_symmetry_space_group_name_Hall '-R 3 2"'
loop_
_atom_site_label
_atom_site_type_symbol
_atom_site_fract_x
_atom_site_fract_y
_atom_site_fract_z
_atom_site_occupancy
Ga1 Ga 0.0000 0.0000 0.0000 1
Ni1 Ni 0.0000 0.0000 0.2779 1
Sn1 Sn 0.0000 0.0000 0.5000 1


# GGA-PBE GaNi2Sn, relaxed
# Calculated volume, A^3/atom: 16.09
# DFT total energy, eV/atom: -4.528
data_GaNi2Sn
_cell_length_a 6.837
_cell_length_b 6.837
_cell_length_c 5.509
_cell_angle_alpha 90.00
_cell_angle_beta 90.00
_cell_angle_gamma 90.00
_symmetry_space_group_name_H-M 'I -4 2 d'
_symmetry_Int_Tables_number 122
_symmetry_space_group_name_Hall 'I -4 2bw'
loop_
_atom_site_label
_atom_site_type_symbol
_atom_site_fract_x
_atom_site_fract_y
_atom_site_fract_z
_atom_site_occupancy
Ga1 Ga 0.000 0.000 0.000 1
Ni1 Ni 0.218 0.750 0.125 1
Sn1 Sn 0.000 0.000 0.500 1


# GGA-PBE GaNiSn2, relaxed
# Calculated volume, A^3/atom: 22.38
# DFT total energy, eV/atom: -3.838
data_GaNiSn2
_cell_length_a 3.1104
_cell_length_b 3.1104
_cell_length_c 32.0567
_cell_angle_alpha 90.00
_cell_angle_beta 90.00
_cell_angle_gamma 120.00
_symmetry_space_group_name_H-M 'R -3 m'
_symmetry_Int_Tables_number 166
_symmetry_space_group_name_Hall '-R 3 2"'
loop_
_atom_site_label
_atom_site_type_symbol
_atom_site_fract_x
_atom_site_fract_y
_atom_site_fract_z
_atom_site_occupancy
Ga1 Ga 0.0000 0.0000 0.0000 1
Ni1 Ni 0.0000 0.0000 0.5000 1
Sn1 Sn 0.0000 0.0000 0.4215 1


# GGA-PBE GaNi2Sn, relaxed
# Calculated volume, A^3/atom: 14.47
# DFT total energy, eV/atom: -4.817
data_GaNi2Sn
_cell_length_a 3.046
_cell_length_b 3.046
_cell_length_c 6.238
_cell_angle_alpha 90.00
_cell_angle_beta 90.00
_cell_angle_gamma 90.00
_symmetry_space_group_name_H-M 'P 4/m m m'
_symmetry_Int_Tables_number 123
_symmetry_space_group_name_Hall '-P 4 2'
loop_
_atom_site_label
_atom_site_type_symbol
_atom_site_fract_x
_atom_site_fract_y
_atom_site_fract_z
_atom_site_occupancy
Ga1 Ga 0.000 0.000 0.000 1
Ni1 Ni 0.500 0.500 0.215 1
Sn1 Sn 0.000 0.000 0.500 1


# GGA-PBE GaNi8Sn2, relaxed
# Calculated volume, A^3/atom: 13.24
# DFT total energy, eV/atom: -5.390
data_GaNi8Sn2
_cell_length_a 3.672
_cell_length_b 7.264
_cell_length_c 10.921
_cell_angle_alpha 90.00
_cell_angle_beta 90.00
_cell_angle_gamma 90.00
_symmetry_space_group_name_H-M 'I m m m'
_symmetry_Int_Tables_number 71
_symmetry_space_group_name_Hall '-I 2 2'
loop_
_atom_site_label
_atom_site_type_symbol
_atom_site_fract_x
_atom_site_fract_y
_atom_site_fract_z
_atom_site_occupancy
Ga1 Ga 0.000 0.000 0.000 1
Ni1 Ni 0.000 0.240 0.166 1
Ni2 Ni 0.000 0.275 0.500 1
Ni3 Ni 0.000 0.500 0.327 1
Sn1 Sn 0.000 0.000 0.351 1


# GGA-PBE GaNi6Sn, relaxed
# Calculated volume, A^3/atom: 12.25
# DFT total energy, eV/atom: -5.444
data_GaNi6Sn
_cell_length_a 3.677
_cell_length_b 3.677
_cell_length_c 7.245
_cell_angle_alpha 90.00
_cell_angle_beta 90.00
_cell_angle_gamma 90.00
_symmetry_space_group_name_H-M 'P 4/m m m'
_symmetry_Int_Tables_number 123
_symmetry_space_group_name_Hall '-P 4 2'
loop_
_atom_site_label
_atom_site_type_symbol
_atom_site_fract_x
_atom_site_fract_y
_atom_site_fract_z
_atom_site_occupancy
Ga1 Ga 0.000 0.000 0.000 1
Ni1 Ni 0.000 0.500 0.238 1
Ni2 Ni 0.500 0.500 0.000 1
Ni3 Ni 0.500 0.500 0.500 1
Sn1 Sn 0.000 0.000 0.500 1


# GGA-PBE Ga3NiSn, relaxed
# Calculated volume, A^3/atom: 28.90
# DFT total energy, eV/atom: -2.733
data_Ga3NiSn
_cell_length_a 5.248
_cell_length_b 5.248
_cell_length_c 5.248
_cell_angle_alpha 90.00
_cell_angle_beta 90.00
_cell_angle_gamma 90.00
_symmetry_space_group_name_H-M 'P m -3 m'
_symmetry_Int_Tables_number 221
_symmetry_space_group_name_Hall '-P 4 2 3'
loop_
_atom_site_label
_atom_site_type_symbol
_atom_site_fract_x
_atom_site_fract_y
_atom_site_fract_z
_atom_site_occupancy
Ga1 Ga 0.000 0.000 0.500 1
Ni1 Ni 0.500 0.500 0.500 1
Sn1 Sn 0.000 0.000 0.000 1


# GGA-PBE GaNiSn2, relaxed
# Calculated volume, A^3/atom: 22.78
# DFT total energy, eV/atom: -4.052
data_GaNiSn2
_cell_length_a 4.715
_cell_length_b 4.715
_cell_length_c 16.394
_cell_angle_alpha 90.00
_cell_angle_beta 90.00
_cell_angle_gamma 90.00
_symmetry_space_group_name_H-M 'I -4 2 d'
_symmetry_Int_Tables_number 122
_symmetry_space_group_name_Hall 'I -4 2bw'
loop_
_atom_site_label
_atom_site_type_symbol
_atom_site_fract_x
_atom_site_fract_y
_atom_site_fract_z
_atom_site_occupancy
Ga1 Ga 0.000 0.000 0.000 1
Ni1 Ni 0.000 0.000 0.500 1
Sn1 Sn 0.205 0.250 0.625 1


# GGA-PBE Ga3Ni7Sn, relaxed
# Calculated volume, A^3/atom: 13.85
# DFT total energy, eV/atom: -4.947
data_Ga3Ni7Sn
_cell_length_a 7.732
_cell_length_b 8.574
_cell_length_c 5.009
_cell_angle_alpha 90.00
_cell_angle_beta 113.43
_cell_angle_gamma 90.00
_symmetry_space_group_name_H-M 'C 1 2/m 1'
_symmetry_Int_Tables_number 12
_symmetry_space_group_name_Hall '-C 2y'
loop_
_atom_site_label
_atom_site_type_symbol
_atom_site_fract_x
_atom_site_fract_y
_atom_site_fract_z
_atom_site_occupancy
Ga1 Ga 0.000 0.000 0.000 1
Ga2 Ga 0.000 0.222 0.500 1
Ni1 Ni 0.000 0.500 0.500 1
Ni2 Ni 0.178 0.236 0.196 1
Ni3 Ni 0.191 0.000 0.525 1
Sn1 Sn 0.000 0.500 0.000 1